! AuCSN2 | Alexandria | PBE | relaxed; values from VASP
&SYSTEM
  ibrav = 0, nat = 5, ntyp = 4
/
ATOMIC_SPECIES
Au 196.97 Au.upf
C 12.01 C.upf
S 32.06 S.upf
N 14.01 N.upf
ATOMIC_POSITIONS crystal
Au 0.000 0.000 0.000
C 0.500 0.500 0.500
S 0.500 0.500 0.000
N 0.000 0.500 0.500
N 0.500 0.000 0.500
CELL_PARAMETERS angstrom
3.266 0.000 0.000
0.000 3.266 0.000
0.000 0.000 7.945
! Raw formation energy (meV per atom): 2078
! Energy relative to the lowest polymorph listed for this composition (eV/atom): 0.000
! Final energy (eV/atom): -4.578
! DOS at the Fermi energy (states/eV per atom): 0.824

=====

! AuCS2N | Alexandria | PBE | relaxed; values from VASP
&SYSTEM
  ibrav = 0, nat = 5, ntyp = 4
/
ATOMIC_SPECIES
Au 196.97 Au.upf
C 12.01 C.upf
S 32.06 S.upf
N 14.01 N.upf
ATOMIC_POSITIONS crystal
Au 0.000 0.000 0.000
C 0.500 0.500 0.500
S 0.000 0.500 0.000
S 0.500 0.000 0.000
N 0.000 0.000 0.500
CELL_PARAMETERS angstrom
5.036 0.000 0.000
0.000 5.036 0.000
0.000 0.000 3.740
! Raw formation energy (meV per atom): 2575
! Energy relative to the lowest polymorph listed for this composition (eV/atom): 1.650
! Final energy (eV/atom): -3.241
! DOS at the Fermi energy (states/eV per atom): 0.804

=====

! AuCSN2 | Alexandria | PBE | relaxed; values from VASP
&SYSTEM
  ibrav = 0, nat = 5, ntyp = 4
/
ATOMIC_SPECIES
Au 196.97 Au.upf
C 12.01 C.upf
S 32.06 S.upf
N 14.01 N.upf
ATOMIC_POSITIONS crystal
Au 0.000 0.000 0.000
C 0.500 0.500 0.500
S 0.000 0.000 0.500
N 0.000 0.500 0.000
N 0.500 0.000 0.000
CELL_PARAMETERS angstrom
3.731 0.000 0.000
0.000 3.731 0.000
0.000 0.000 7.712
! Raw formation energy (meV per atom): 3026
! Energy relative to the lowest polymorph listed for this composition (eV/atom): 0.948
! Final energy (eV/atom): -3.629
! DOS at the Fermi energy (states/eV per atom): 1.131

=====

! SbAu2CN | Alexandria | PBE | relaxed; values from VASP
&SYSTEM
  ibrav = 0, nat = 5, ntyp = 4
/
ATOMIC_SPECIES
Sb 121.76 Sb.upf
Au 196.97 Au.upf
C 12.01 C.upf
N 14.01 N.upf
ATOMIC_POSITIONS crystal
Sb 0.000 0.000 0.000
Au 0.000 0.500 0.000
Au 0.500 0.000 0.000
C 0.000 0.000 0.500
N 0.500 0.500 0.500
CELL_PARAMETERS angstrom
5.294 0.000 0.000
0.000 5.294 0.000
0.000 0.000 4.279
! Raw formation energy (meV per atom): 2278
! Final energy (eV/atom): -3.367
! DOS at the Fermi energy (states/eV per atom): 0.495

=====

! AuCSeN2 | Alexandria | PBE | relaxed; values from VASP
&SYSTEM
  ibrav = 0, nat = 5, ntyp = 4
/
ATOMIC_SPECIES
Au 196.97 Au.upf
C 12.01 C.upf
Se 78.96 Se.upf
N 14.01 N.upf
ATOMIC_POSITIONS crystal
Au 0.000 0.000 0.000
C 0.500 0.500 0.500
Se 0.500 0.500 0.000
N 0.000 0.500 0.500
N 0.500 0.000 0.500
CELL_PARAMETERS angstrom
3.399 0.000 0.000
0.000 3.399 0.000
0.000 0.000 7.645
! Raw formation energy (meV per atom): 2250
! Energy relative to the lowest polymorph listed for this composition (eV/atom): 0.000
! Final energy (eV/atom): -4.277
! DOS at the Fermi energy (states/eV per atom): 0.716

=====

! AuCSeN2 | Alexandria | PBE | relaxed; values from VASP
&SYSTEM
  ibrav = 0, nat = 5, ntyp = 4
/
ATOMIC_SPECIES
Au 196.97 Au.upf
C 12.01 C.upf
Se 78.96 Se.upf
N 14.01 N.upf
ATOMIC_POSITIONS crystal
Au 0.000 0.000 0.000
C 0.500 0.500 0.500
Se 0.000 0.000 0.500
N 0.000 0.500 0.000
N 0.500 0.000 0.000
CELL_PARAMETERS angstrom
3.728 0.000 0.000
0.000 3.728 0.000
0.000 0.000 8.257
! Raw formation energy (meV per atom): 2833
! Energy relative to the lowest polymorph listed for this composition (eV/atom): 0.582
! Final energy (eV/atom): -3.695
! DOS at the Fermi energy (states/eV per atom): 0.892